Computed, not measured: Li4HoSb2 after structural relaxation at the PBE level of DFT.

Unit cell a=8.4406 b=8.4406 c=8.4406 alpha=31.16 beta=31.16 gamma=31.16
Closest atoms and distances in Å follow each position.
Sites, in units of the cell vectors:
Li1 0.0720 0.0720 0.0720  3 Sb 2.65, 3 Li 2.83
Li2 0.3612 0.3612 0.3612  6 Li 2.83-2.94, 4 Sb 2.84-3.02
Li3 0.6388 0.6388 0.6388  6 Li 2.83-2.94, 4 Sb 2.84-3.02
Li4 0.9280 0.9280 0.9280  3 Sb 2.65, 3 Li 2.83
Ho1 0.5000 0.5000 0.5000  6 Sb 3.20, 8 Li 3.34-3.47
Sb1 0.2432 0.2432 0.2432  4 Li 2.65-2.84
Sb2 0.7568 0.7568 0.7568  4 Li 2.65-2.84

Summary:
**Volume**: 142.88 Å³/cell
**Total DFT energy (no corrections)**: -3.625 eV/atom
**SG**: R-3m
**Formation energy (no corrections)**: -0.70 eV/atom
**Total magnetization**: 0.00 μB/f.u.
**Crystal system**: trigonal